VASP calculation (PBE-GGA) on crystalline MgCrNi at its relaxed geometry.

Output
The calculation puts the distance to the lowest polymorph of the same formula at 1564 meV/atom. As for the calculated volume: 28.1 A^3/atom. The size of the total moment is 8.07 μB per cell. Its space-group type is P6_3/mmc, No. 194. The energy relative to the elements is 1621 meV/atom.

a b c (Å): 4.699 4.699 8.818
angles (deg): 90.00 90.00 120.00
Sites, in units of the cell vectors:
Mg  0.333  0.667  0.250
Mg  0.667  0.333  0.750
Cr  0.000  0.000  0.250
Cr  0.000  0.000  0.750
Ni  0.000  0.000  0.000
Ni  0.000  0.000  0.500